Here is a relaxed V2CoPbO6 crystal from the Alexandria database. Energies are from GGA+U.

a b c (Å): 5.514 7.247 7.247
angles (deg): 80.41 74.33 74.33
Atoms (fractional coordinates):
Pb: 0.250 0.839 0.161
Pb: 0.750 0.161 0.839
V: 0.614 0.130 0.344
V: 0.386 0.870 0.656
V: 0.114 0.344 0.130
V: 0.886 0.656 0.870
O: 0.574 0.861 0.847
O: 0.724 0.881 0.428
O: 0.776 0.572 0.119
O: 0.141 0.471 0.315
O: 0.926 0.153 0.139
O: 0.074 0.847 0.861
O: 0.359 0.685 0.529
O: 0.224 0.428 0.881
O: 0.426 0.139 0.153
O: 0.859 0.529 0.685
O: 0.641 0.315 0.471
O: 0.276 0.119 0.572
Co: 0.250 0.424 0.576
Co: 0.750 0.576 0.424

Results
For the calculated total energy, the calculation gives -6.973 eV/atom. As for the magnetization: 10.00 μB/cell. As for the crystal system: monoclinic.